No. 1
A plane-wave DFT calculation with PBE was carried out for NaPdPtO6 after structural relaxation.

## Properties
E_form (uncorrected) (meV/atom): -432
Total DFT energy (no corrections) (eV per atom): -5.1318
Space-group type: P-31c (163)

Cell lengths 5.265, 5.265, 10.210 Å; angles 90.00, 90.00, 120.00 degrees
Each line ends with the local moment (μB).
Fractional coordinates of all 18 atoms:
O 0.367 0.995 0.644  0.27
Na 0.000 0.000 0.000  0.00
O 0.367 0.372 0.856  0.27
Pt 0.667 0.333 0.250  0.67
O 0.633 0.628 0.144  0.27
O 0.628 0.995 0.856  0.27
Pd 0.667 0.333 0.750  0.25
Na 0.000 0.000 0.500  0.00
O 0.372 0.005 0.144  0.27
Pt 0.333 0.667 0.750  0.67
Pd 0.333 0.667 0.250  0.25
O 0.633 0.005 0.356  0.27
O 0.005 0.372 0.644  0.27
O 0.995 0.628 0.356  0.27
O 0.005 0.633 0.856  0.27
O 0.372 0.367 0.356  0.27
O 0.628 0.633 0.644  0.27
O 0.995 0.367 0.144  0.27



No. 2
A plane-wave DFT calculation with PBE was carried out for Na2PdPtO4 after structural relaxation.

## Properties
E_form (uncorrected) (meV/atom): -960
Total DFT energy (no corrections) (eV per atom): -5.1729
Space-group type: P2/m (10)

Cell lengths 3.088, 6.367, 5.971 Å; angles 120.94, 90.00, 90.00 degrees
Fractional coordinates of all 8 atoms:
Na 0.000 0.500 0.500
Pt 0.500 0.500 0.000
O 0.000 0.316 0.745
Pd 0.000 0.000 0.000
O 0.000 0.684 0.255
O 0.500 0.748 0.873
O 0.500 0.252 0.127
Na 0.500 0.000 0.500



No. 3
A plane-wave DFT calculation with PBE was carried out for NaPdPtO4 after structural relaxation.

## Properties
E_form (uncorrected) (meV/atom): -749
Total DFT energy (no corrections) (eV per atom): -5.3753
Space-group type: Imma (74)

Cell lengths 6.314, 6.518, 6.183 Å; angles 118.32, 90.00, 118.97 degrees
Each line ends with the local moment (μB).
Fractional coordinates of all 14 atoms:
O 0.746 0.491 0.707  0.16
Na 0.109 0.218 0.859  0.00
O 0.746 0.491 0.285  0.16
O 0.676 0.924 0.712  0.03
O 0.752 0.076 0.288  0.03
O 0.324 0.076 0.288  0.03
O 0.248 0.924 0.712  0.03
Pd 0.500 0.000 0.000  0.52
Na 0.891 0.782 0.141  0.00
O 0.254 0.509 0.715  0.16
O 0.254 0.509 0.293  0.16
Pd 0.500 0.000 0.500  0.52
Pt 0.000 0.500 0.500  0.02
Pt 0.500 0.500 0.500  0.02



No. 4
A plane-wave DFT calculation with PBE was carried out for Na3Pd3PtO8 after structural relaxation.

## Properties
E_form (uncorrected) (meV/atom): -811
Total DFT energy (no corrections) (eV per atom): -5.1608
Space-group type: C2/m (12)

Cell lengths 6.115, 6.861, 6.272 Å; angles 118.92, 90.00, 116.46 degrees
Each line ends with the local moment (μB).
Fractional coordinates of all 15 atoms:
O 0.727 0.950 0.266  0.10
O 0.300 0.600 0.350  0.00
Pd 0.500 0.000 0.500  0.04
O 0.700 0.400 0.650  0.00
O 0.196 0.391 0.646  0.01
O 0.223 0.950 0.266  0.10
Na 0.500 0.500 0.000  0.00
Na 0.000 0.000 0.000  0.00
O 0.804 0.609 0.354  0.01
Pd 0.500 0.500 0.500  0.11
Pd 0.000 0.500 0.500  0.11
Na 0.000 0.500 0.000  0.00
O 0.777 0.050 0.734  0.10
Pt 0.000 0.000 0.500  0.12
O 0.273 0.050 0.734  0.10



Number 1: V 245 Å³ per cell. Number 2: V 101 Å³ per cell. Number 3: V 187 Å³ per cell. Number 4: V 198 Å³ per cell.